Record 1
VASP calculation (PBEsol) on a relaxed structure of LiY2Ir.

Lattice parameters (Å, degrees): 3.4515 3.4515 7.6022 90.00 90.00 90.00
With the nearest neighbours (Å) after each atom.
Positions (direct):
Li  0.0000  0.0000  0.0000  8 Y 3.28, 4 Li 3.45
Y  0.5000  0.5000  0.2885  4 Ir 2.92, 1 Y 3.21
Y  0.5000  0.5000  0.7114  4 Ir 2.92, 1 Y 3.21
Ir  0.0000  0.0000  0.5000  8 Y 2.92

symmetry	P4/mmm
ΔH_f (0 K)	-0.3960	eV/atom
total magnetic moment	0.00	Bohr magnetons per cell

Record 2
VASP calculation (PBEsol) on a relaxed structure of TlSiGe2.

Lattice parameters (Å, degrees): 4.8385 4.8385 4.8385 60.00 60.00 60.00
With the nearest neighbours (Å) after each atom.
Positions (direct):
Tl  0.0000  0.0000  0.0000  8 Ge 2.96
Si  0.5000  0.5000  0.5000  8 Ge 2.96
Ge  0.2500  0.2500  0.2500  4 Si 2.96, 4 Tl 2.96
Ge  0.7500  0.7500  0.7500  4 Tl 2.96, 4 Si 2.96

formation energy (no corrections)	452	meV per atom
symmetry	Fm-3m
total magnetic moment	0.00	Bohr magnetons per cell

Record 3
VASP calculation (PBEsol) on a relaxed structure of Ca2AuSe.

Lattice parameters (Å, degrees): 4.4466 5.8869 5.8869 39.06 90.00 90.00
With the nearest neighbours (Å) after each atom.
Positions (direct):
Ca  0.0000  0.0000  0.0000  3 Au 2.94-3.27, 4 Se 3.00
Ca  0.5000  0.2664  0.2664  3 Se 2.99-3.23, 4 Au 2.99
Au  0.0000  0.7353  0.7353  7 Ca 2.94-3.27, 2 Se 3.14
Se  0.5000  0.5356  0.5356  7 Ca 2.99-3.23, 2 Au 3.14

formation energy (no corrections)	-1203	meV per atom
symmetry	Amm2
total magnetic moment	0.00	Bohr magnetons per cell

Record 4
VASP calculation (PBEsol) on a relaxed structure of CrMoAs2.

Lattice parameters (Å, degrees): 4.3537 4.3537 4.3537 60.00 60.00 60.00
With the nearest neighbours (Å) after each atom.
Positions (direct):
Cr  0.0000  0.0000  0.0000  4 Mo 2.67, 4 As 2.67
Mo  0.7500  0.7500  0.7500  4 As 2.67, 4 Cr 2.67
As  0.2500  0.2500  0.2500  4 As 2.67, 4 Cr 2.67
As  0.5000  0.5000  0.5000  4 As 2.67, 4 Mo 2.67

energy relative to the lowest polymorph listed for this composition	605	meV/atom
symmetry	F-43m
ΔH_f (0 K)	0.3784	eV/atom
total magnetic moment	1.15	Bohr magnetons per cell

Record 5
VASP calculation (PBEsol) on a relaxed structure of MnSi2Br.

Lattice parameters (Å, degrees): 5.9624 5.9624 5.9624 152.54 137.60 51.26
With the nearest neighbours (Å) after each atom.
Positions (direct):
Mn  0.0000  0.0000  0.0000  4 Br 2.58, 4 Si 2.61, 2 Mn 2.83
Si  0.2041  0.7041  0.5000  2 Mn 2.61, 6 Si 2.76-2.83
Si  0.7959  0.2959  0.5000  2 Mn 2.61, 6 Si 2.76-2.83
Br  0.5000  0.5000  0.0000  4 Mn 2.58, 2 Br 2.83

energy relative to the lowest polymorph listed for this composition	0	meV/atom
formation energy (no corrections)	417	meV per atom
symmetry	Immm
total magnetic moment	2.85	Bohr magnetons per cell

Record 6
VASP calculation (PBEsol) on a relaxed structure of ErBe13.

Lattice parameters (Å, degrees): 7.1410 7.1410 7.1410 60.00 60.00 60.00
With the nearest neighbours (Å) after each atom.
Positions (direct):
Er  0.2500  0.2500  0.2500  24 Be 2.96
Er  0.7500  0.7500  0.7500  24 Be 2.96
Be  0.0000  0.0000  0.0000  12 Be 2.13
Be  0.0622  0.2916  0.7084  10 Be 2.13-2.32
Be  0.0622  0.7084  0.9378  10 Be 2.13-2.32
Be  0.0622  0.9378  0.2916  10 Be 2.13-2.32
Be  0.2084  0.4378  0.7916  10 Be 2.13-2.32
Be  0.2084  0.5622  0.4378  10 Be 2.13-2.32
Be  0.2084  0.7916  0.5622  10 Be 2.13-2.32
Be  0.2916  0.0622  0.9378  10 Be 2.13-2.32
Be  0.2916  0.7084  0.0622  10 Be 2.13-2.32
Be  0.2916  0.9378  0.7084  10 Be 2.13-2.32
Be  0.4378  0.2084  0.5622  10 Be 2.13-2.32
Be  0.4378  0.5622  0.7916  10 Be 2.13-2.32
Be  0.4378  0.7916  0.2084  10 Be 2.13-2.32
Be  0.5000  0.5000  0.5000  12 Be 2.13
Be  0.5622  0.2084  0.7916  10 Be 2.13-2.32
Be  0.5622  0.4378  0.2084  10 Be 2.13-2.32
Be  0.5622  0.7916  0.4378  10 Be 2.13-2.32
Be  0.7084  0.0622  0.2916  10 Be 2.13-2.32
Be  0.7084  0.2916  0.9378  10 Be 2.13-2.32
Be  0.7084  0.9378  0.0622  10 Be 2.13-2.32
Be  0.7916  0.2084  0.4378  10 Be 2.13-2.32
Be  0.7916  0.4378  0.5622  10 Be 2.13-2.32
Be  0.7916  0.5622  0.2084  10 Be 2.13-2.32
Be  0.9378  0.0622  0.7084  10 Be 2.13-2.32
Be  0.9378  0.2916  0.0622  10 Be 2.13-2.32
Be  0.9378  0.7084  0.2916  10 Be 2.13-2.32

symmetry	Fm-3c
ΔH_f (0 K)	-0.1820	eV/atom
total magnetic moment	0.00	Bohr magnetons per cell

Record 7
VASP calculation (PBEsol) on a relaxed structure of LaAg2Ir.

Lattice parameters (Å, degrees): 9.9509 9.9509 9.9509 17.15 17.15 17.15
With the nearest neighbours (Å) after each atom.
Positions (direct):
La  0.0000  0.0000  0.0000  3 Ir 2.95, 6 La 2.97
Ag  0.5084  0.5084  0.5084  3 Ir 2.84, 9 Ag 2.84-2.97
Ag  0.7647  0.7647  0.7647  9 Ag 2.84-2.97
Ir  0.2518  0.2518  0.2518  3 Ag 2.84, 3 La 2.95, 6 Ir 2.97

symmetry	R3m
ΔH_f (0 K)	0.2648	eV/atom
total magnetic moment	0.00	Bohr magnetons per cell

Record 8
VASP calculation (PBEsol) on a relaxed structure of Sc3RhF.

Lattice parameters (Å, degrees): 4.3237 4.3237 4.3237 90.00 90.00 90.00
With the nearest neighbours (Å) after each atom.
Positions (direct):
Sc  0.0000  0.0000  0.5000  2 F 2.16
Sc  0.0000  0.5000  0.0000  2 F 2.16
Sc  0.5000  0.0000  0.0000  2 F 2.16
Rh  0.5000  0.5000  0.5000  12 Sc 3.06
F  0.0000  0.0000  0.0000  6 Sc 2.16

formation energy (no corrections)	-1099	meV per atom
symmetry	Pm-3m
total magnetic moment	0.00	Bohr magnetons per cell

Record 9
VASP calculation (PBEsol) on a relaxed structure of Sc3Zn5.

Lattice parameters (Å, degrees): 5.6483 5.6483 4.4592 90.00 90.00 108.20
With the nearest neighbours (Å) after each atom.
Positions (direct):
Sc  0.0000  0.0000  0.0000  8 Zn 2.76-2.82
Sc  0.2681  0.7319  0.5000  8 Zn 2.71-2.94
Sc  0.7319  0.2681  0.5000  8 Zn 2.71-2.94
Zn  0.0000  0.5000  0.0000  6 Sc 2.78-2.82, 2 Zn 2.82
Zn  0.2452  0.2452  0.5000  6 Sc 2.71-2.94, 2 Zn 2.80
Zn  0.5000  0.0000  0.0000  6 Sc 2.78-2.82, 2 Zn 2.82
Zn  0.5000  0.5000  0.0000  8 Zn 2.80-2.82, 4 Sc 3.08
Zn  0.7548  0.7548  0.5000  6 Sc 2.71-2.94, 2 Zn 2.80

symmetry	Cmmm
ΔH_f (0 K)	-0.3216	eV/atom
total magnetic moment	0.00	Bohr magnetons per cell

Record 10
VASP calculation (PBEsol) on a relaxed structure of CaPNF2.

Lattice parameters (Å, degrees): 4.1185 4.1185 5.2139 90.00 90.00 90.00
With the nearest neighbours (Å) after each atom.
Positions (direct):
Ca  0.0000  0.0000  0.0000  4 F 2.06
P  0.5000  0.5000  0.5000  4 N 2.91
N  0.0000  0.0000  0.5000  2 Ca 2.61, 4 P 2.91
F  0.0000  0.5000  0.0000  2 Ca 2.06
F  0.5000  0.0000  0.0000  2 Ca 2.06

formation energy (no corrections)	-600	meV per atom
symmetry	P4/mmm
total magnetic moment	0.00	Bohr magnetons per cell

Record 11
VASP calculation (PBEsol) on a relaxed structure of K2YSe.

Lattice parameters (Å, degrees): 4.0755 4.0755 11.5811 99.36 99.36 59.98
With the nearest neighbours (Å) after each atom.
Positions (direct):
K  0.0000  0.0000  0.0000  3 Se 3.21
K  0.1945  0.1945  0.6358  6 K 4.07-4.08, 3 Y 4.23
Y  0.4340  0.4340  0.3270  3 Se 2.81
Se  0.7258  0.7258  0.1922  3 Y 2.81

formation energy (no corrections)	-650	meV per atom
symmetry	Cm
total magnetic moment	0.79	Bohr magnetons per cell

Record 12
VASP calculation (PBEsol) on a relaxed structure of CoIr2W.

Lattice parameters (Å, degrees): 4.6027 4.6027 4.6027 131.11 131.11 71.64
With the nearest neighbours (Å) after each atom.
Positions (direct):
Co  0.0000  0.0000  0.0000  8 Ir 2.67, 4 W 2.69
Ir  0.2500  0.7500  0.5000  4 W 2.67, 4 Co 2.67, 4 Ir 2.69
Ir  0.7500  0.2500  0.5000  4 W 2.67, 4 Co 2.67, 4 Ir 2.69
W  0.5000  0.5000  0.0000  8 Ir 2.67, 4 Co 2.69

energy relative to the lowest polymorph listed for this composition	0	meV/atom
symmetry	I4/mmm
ΔH_f (0 K)	-0.2180	eV/atom
total magnetic moment	1.32	Bohr magnetons per cell

Record 13
VASP calculation (PBEsol) on a relaxed structure of Ca2La2MgTi3O12.

Lattice parameters (Å, degrees): 5.4444 5.5216 7.7306 89.89 89.93 89.82
With the nearest neighbours (Å) after each atom.
Positions (direct):
Ca  0.0000  0.0000  0.0000  5 O 2.33-2.60
Ca  0.4962  0.4102  0.4840  5 O 2.34-2.58
La  0.0113  0.9264  0.4831  5 O 2.35-2.62
La  0.5168  0.4985  0.0031  6 O 2.36-2.64
Mg  0.5059  0.9576  0.2421  6 O 2.03-2.07
Ti  0.0061  0.4570  0.2445  6 O 1.92-2.02
Ti  0.0149  0.4596  0.7415  6 O 1.91-2.03
Ti  0.5140  0.9647  0.7454  6 O 1.90-2.09
O  0.0779  0.4374  0.9887  2 Ti 1.95-2.02
O  0.2088  0.1743  0.2791  1 Ti 1.93, 1 Mg 2.03
O  0.2180  0.1740  0.7025  2 Ti 1.95-2.01
O  0.2895  0.6559  0.2853  1 Ti 1.92, 1 Mg 2.07
O  0.2896  0.6648  0.6986  2 Ti 1.91-2.09
O  0.4216  0.9357  0.9818  1 Ti 1.90, 1 Mg 2.07
O  0.5780  0.9773  0.5030  1 Ti 1.91, 1 Mg 2.06
O  0.7212  0.2426  0.7851  2 Ti 1.93-2.03
O  0.7243  0.2537  0.2064  1 Ti 1.93, 1 Mg 2.04
O  0.7946  0.7442  0.7853  2 Ti 1.97-2.00
O  0.8073  0.7416  0.1998  1 Ti 1.94, 1 Mg 2.05
O  0.9225  0.4718  0.4967  2 Ti 1.96-2.00

energy relative to the lowest polymorph listed for this composition	0	meV/atom
formation energy (no corrections)	-3244	meV per atom
symmetry	P1
total magnetic moment	0.00	Bohr magnetons per cell

Record 14
VASP calculation (PBEsol) on a relaxed structure of SrAsP2.

Lattice parameters (Å, degrees): 5.0989 5.0989 5.0989 127.64 127.64 77.21
With the nearest neighbours (Å) after each atom.
Positions (direct):
Sr  0.0000  0.0000  0.0000  8 P 3.00, 4 As 3.18
As  0.5000  0.5000  0.0000  8 P 3.00, 4 Sr 3.18
P  0.2500  0.7500  0.5000  4 As 3.00, 4 Sr 3.00, 4 P 3.18
P  0.7500  0.2500  0.5000  4 As 3.00, 4 Sr 3.00, 4 P 3.18

symmetry	I4/mmm
ΔH_f (0 K)	-0.0215	eV/atom
total magnetic moment	0.00	Bohr magnetons per cell

Record 15
VASP calculation (PBEsol) on a relaxed structure of YTa2Os2.

Lattice parameters (Å, degrees): 6.1490 6.1490 6.1490 138.83 138.83 59.64
With the nearest neighbours (Å) after each atom.
Positions (direct):
Y  0.0000  0.0000  0.0000  8 Os 3.31, 8 Ta 3.43
Ta  0.2500  0.7500  0.5000  4 Os 2.58
Ta  0.7500  0.2500  0.5000  4 Os 2.58
Os  0.3822  0.3822  0.0000  1 Os 2.51, 4 Ta 2.58
Os  0.6178  0.6178  0.0000  1 Os 2.51, 4 Ta 2.58

symmetry	I4/mmm
ΔH_f (0 K)	-0.2608	eV/atom
total magnetic moment	0.00	Bohr magnetons per cell

Record 16
VASP calculation (PBEsol) on a relaxed structure of Pr3Nd.

Lattice parameters (Å, degrees): 6.2750 6.2750 6.2750 131.81 131.81 70.53
With the nearest neighbours (Å) after each atom.
Positions (direct):
Pr  0.0000  0.0000  0.0000  8 Pr 3.62, 4 Nd 3.62
Pr  0.2500  0.7500  0.5000  8 Pr 3.62, 4 Nd 3.62
Pr  0.7500  0.2500  0.5000  8 Pr 3.62, 4 Nd 3.62
Nd  0.5000  0.5000  0.0000  12 Pr 3.62

symmetry	I4/mmm
ΔH_f (0 K)	0.0058	eV/atom
total magnetic moment	0.00	Bohr magnetons per cell

Record 17
VASP calculation (PBEsol) on a relaxed structure of AlSn3Bi.

Lattice parameters (Å, degrees): 5.7371 5.7371 5.7371 90.00 90.00 90.00
With the nearest neighbours (Å) after each atom.
Positions (direct):
Al  0.0000  0.0000  0.0000  12 Sn 4.06
Sn  0.0000  0.5000  0.5000  2 Bi 2.87
Sn  0.5000  0.0000  0.5000  2 Bi 2.87
Sn  0.5000  0.5000  0.0000  2 Bi 2.87
Bi  0.5000  0.5000  0.5000  6 Sn 2.87

symmetry	Pm-3m
ΔH_f (0 K)	1.0073	eV/atom
total magnetic moment	0.00	Bohr magnetons per cell

Record 18
VASP calculation (PBEsol) on a relaxed structure of Mg2AlAg.

Lattice parameters (Å, degrees): 3.1168 4.4902 5.5553 90.00 105.60 90.00
With the nearest neighbours (Å) after each atom.
Positions (direct):
Mg  0.0000  0.0000  0.0000  3 Al 2.86-2.94, 4 Ag 2.93-2.94, 2 Mg 3.12
Mg  0.3263  0.5000  0.6684  3 Ag 2.84-2.96, 4 Al 2.94-2.95, 2 Mg 3.12
Al  0.7262  0.0000  0.4649  2 Ag 2.66, 7 Mg 2.86-2.95
Ag  0.5979  0.5000  0.1982  2 Al 2.66, 7 Mg 2.84-2.96

symmetry	Pm
ΔH_f (0 K)	-0.1089	eV/atom
total magnetic moment	0.00	Bohr magnetons per cell

Record 19
VASP calculation (PBEsol) on a relaxed structure of LiAgHg.

Lattice parameters (Å, degrees): 5.0406 5.0406 5.0406 145.20 134.40 58.61
With the nearest neighbours (Å) after each atom.
Positions (direct):
Li  0.0000  0.0000  0.0000  5 Ag 2.84-2.99, 5 Hg 2.86-2.95, 2 Li 3.01
Ag  0.6594  0.6594  0.0000  5 Li 2.84-2.99, 5 Hg 2.85-2.91, 2 Ag 3.01
Hg  0.3355  0.3355  0.0000  5 Ag 2.85-2.91, 5 Li 2.86-2.95, 2 Hg 3.01

energy relative to the lowest polymorph listed for this composition	0	meV/atom
symmetry	Imm2
ΔH_f (0 K)	-0.2424	eV/atom
total magnetic moment	0.00	Bohr magnetons per cell

Record 20
VASP calculation (PBEsol) on a relaxed structure of InHg2.

Lattice parameters (Å, degrees): 6.3902 6.3902 7.1982 109.67 109.67 31.45
With the nearest neighbours (Å) after each atom.
Positions (direct):
In  0.1916  0.1916  0.1433  8 Hg 3.08-3.35, 2 In 3.38
In  0.8084  0.8084  0.8567  8 Hg 3.08-3.35, 2 In 3.38
Hg  0.1371  0.1371  0.5309  7 Hg 3.08-3.43, 3 In 3.08-3.09
Hg  0.4716  0.4716  0.1983  5 Hg 3.08-3.23, 5 In 3.10-3.35
Hg  0.5284  0.5284  0.8017  5 Hg 3.08-3.23, 5 In 3.10-3.35
Hg  0.8629  0.8629  0.4691  7 Hg 3.08-3.43, 3 In 3.08-3.09

symmetry	C2/m
ΔH_f (0 K)	-0.0106	eV/atom
total magnetic moment	0.00	Bohr magnetons per cell

Listing raw total energy for the structures above in their given order: -6.75 -4.11 -4.21 -7.68 -5.36 -4.25 -5.18 -7.08 -3.79 -4.66 -3.88 -10.52 -8.48 -4.65 -11.53 -5.17 -3.22 -2.82 -2.19 -1.38 eV/atom.